--- P ---
! LiCrCo2 PBE-GGA optimized geometry; values from VASP
&SYSTEM
  ibrav = 0, nat = 4, ntyp = 3
/
ATOMIC_SPECIES
Li 6.94 Li.upf
Cr 52.00 Cr.upf
Co 58.93 Co.upf
ATOMIC_POSITIONS angstrom
Li 0.0000 0.0000 0.0000
Cr 0.0000 0.0000 12.6219
Co 0.0000 0.0000 6.1985
Co 0.0000 0.0000 19.0452
CELL_PARAMETERS angstrom
1.2497 0.7215 8.4146
-1.2497 0.7215 8.4146
0.0000 -1.4430 8.4146
! ρ, Mg/m³: 6.45

---

--- Q ---
! LiCrCo2 PBE-GGA optimized geometry; values from VASP
&SYSTEM
  ibrav = 0, nat = 4, ntyp = 3
/
ATOMIC_SPECIES
Li 6.94 Li.upf
Cr 52.00 Cr.upf
Co 58.93 Co.upf
ATOMIC_POSITIONS angstrom
Li 0.0000 0.0000 0.0000
Cr 1.9910 1.9910 0.0000
Co 0.0000 1.9910 1.3568
Co 1.9910 0.0000 1.3568
CELL_PARAMETERS angstrom
3.9819 0.0000 0.0000
0.0000 3.9819 0.0000
0.0000 0.0000 2.7137
! ρ, Mg/m³: 6.82

---

Name the least stable of them. Q.

---

--- P ---
! LiCrCo2 PBE-GGA optimized geometry; values from VASP
&SYSTEM
  ibrav = 0, nat = 4, ntyp = 3
/
ATOMIC_SPECIES
Li 6.94 Li.upf
Cr 52.00 Cr.upf
Co 58.93 Co.upf
ATOMIC_POSITIONS angstrom
Li 0.0000 0.0000 0.0000
Cr 0.0000 1.9422 1.9104
Co 1.3970 0.0000 1.9891
Co 0.0000 0.0000 4.0373
CELL_PARAMETERS angstrom
-1.3970 1.9422 3.9940
1.3970 -1.9422 3.9940
1.3970 1.9422 -3.9940
! ρ, Mg/m³: 6.77

---

--- Q ---
! LiCrCo2 PBE-GGA optimized geometry; values from VASP
&SYSTEM
  ibrav = 0, nat = 4, ntyp = 3
/
ATOMIC_SPECIES
Li 6.94 Li.upf
Cr 52.00 Cr.upf
Co 58.93 Co.upf
ATOMIC_POSITIONS angstrom
Li 0.0000 0.0000 0.0000
Cr 0.0040 2.0375 3.2533
Co 0.7517 0.0000 2.2706
Co 1.5637 2.0375 0.9676
CELL_PARAMETERS angstrom
2.3765 0.0000 0.0000
0.0000 4.0751 0.0000
-0.7560 0.0000 4.5520
! ρ, Mg/m³: 6.66

---

Name the least stable of them. P.

---

--- P ---
! LiCrCoN PBE-GGA optimized geometry; values from VASP
&SYSTEM
  ibrav = 0, nat = 4, ntyp = 4
/
ATOMIC_SPECIES
Li 6.94 Li.upf
Cr 52.00 Cr.upf
Co 58.93 Co.upf
N 14.01 N.upf
ATOMIC_POSITIONS angstrom
Li 0.0000 0.0000 0.0000
Cr 1.3954 0.0000 2.5921
Co 1.3954 0.0000 5.0683
N 0.0000 0.0000 3.7642
CELL_PARAMETERS angstrom
2.7907 0.0000 0.0000
0.0000 1.9792 3.8262
0.0000 -1.9792 3.8262
! ρ, Mg/m³: 5.18

---

--- Q ---
! LiCrCoN PBE-GGA optimized geometry; values from VASP
&SYSTEM
  ibrav = 0, nat = 4, ntyp = 4
/
ATOMIC_SPECIES
Li 6.94 Li.upf
Cr 52.00 Cr.upf
Co 58.93 Co.upf
N 14.01 N.upf
ATOMIC_POSITIONS angstrom
Li 0.0000 0.0000 0.0000
Cr 1.2874 0.0000 2.8738
Co 0.0000 0.0000 6.1010
N 1.2874 0.0000 4.6135
CELL_PARAMETERS angstrom
2.5749 0.0000 0.0000
0.0000 1.7325 4.4093
0.0000 -1.7325 4.4093
! ρ, Mg/m³: 5.57

---

--- R ---
! LiCrCoN PBE-GGA optimized geometry; values from VASP
&SYSTEM
  ibrav = 0, nat = 4, ntyp = 4
/
ATOMIC_SPECIES
Li 6.94 Li.upf
Cr 52.00 Cr.upf
Co 58.93 Co.upf
N 14.01 N.upf
ATOMIC_POSITIONS angstrom
Li 0.0000 0.0000 0.0000
Cr 0.0000 0.0000 3.8793
Co 1.2738 0.0000 8.3699
N 1.2738 0.0000 10.9417
CELL_PARAMETERS angstrom
2.5476 0.0000 0.0000
0.0000 1.2833 6.3062
0.0000 -1.2833 6.3062
! ρ, Mg/m³: 5.31

---

Name the least stable of them. Q.